A relaxed Ti2FeO crystal, computed with PBE+U.

Computed properties:
symmetry = I-42d, No. 122
DFT total energy = -6.78 eV/atom
mass density = 4.88 g/cm3

Lattice parameters (Å, degrees): 5.4545 5.4545 5.4355 59.88 59.88 90.00
Last column: nearest neighbours and their distance in Å.
Sites, in units of the cell vectors:
Fe 0.0000 0.0000 0.0000  4 Ti 2.39
Fe 0.7500 0.2500 0.5000  4 Ti 2.39
O 0.5000 0.5000 0.0000  4 Ti 1.95
O 0.2500 0.7500 0.5000  4 Ti 1.95
Ti 0.5608 0.1250 0.2500  2 O 1.95
Ti 0.1892 0.6250 0.2500  2 O 1.95
Ti 0.3750 0.4392 0.7500  2 O 1.95
Ti 0.8750 0.8108 0.7500  2 O 1.95